(1)
First-principles (PBE) data for a geometry-optimized WAu2Br structure, as listed in Alexandria.

Summary:
Symmetry ... No. 225
Size of the total moment ... 2.81 μB per formula unit
Energy above the lowest structure with this stoichiometry ... 859 meV/atom
V ... 79.19 Å³ per cell
Formation energy from raw total energies ... 1.2119 eV per atom

Cell lengths 4.8201, 4.8201, 4.8201 Å; angles 60.00, 60.00, 60.00 degrees
With the nearest neighbours (Å) after each atom.
Sites, in units of the cell vectors:
Au 0.2500 0.2500 0.2500  4 W 2.95, 4 Br 2.95
Au 0.7500 0.7500 0.7500  4 W 2.95, 4 Br 2.95
Br 0.0000 0.0000 0.0000  8 Au 2.95
W 0.5000 0.5000 0.5000  8 Au 2.95

(2)
First-principles (PBE) data for a geometry-optimized WAu2Br structure, as listed in Alexandria.

Summary:
Symmetry ... No. 65
Size of the total moment ... 0.00 μB per formula unit
Energy above the lowest structure with this stoichiometry ... 212 meV/atom
V ... 76.66 Å³ per cell
Formation energy from raw total energies ... 0.5654 eV per atom

Cell lengths 2.9321, 2.9321, 9.9490 Å; angles 90.00, 90.00, 116.32 degrees
With the nearest neighbours (Å) after each atom.
Sites, in units of the cell vectors:
Au 0.0000 0.0000 0.9812  2 W 2.77, 6 Au 2.93-3.09, 2 Br 3.09
Au 0.0000 0.0000 0.5188  2 W 2.77, 6 Au 2.93-3.09, 2 Br 3.09
Br 0.5000 0.5000 0.2500  6 Br 2.93-3.09, 4 Au 3.09
W 0.5000 0.5000 0.7500  4 Au 2.77, 6 W 2.93-3.09

(3)
First-principles (PBE) data for a geometry-optimized WAu2Br structure, as listed in Alexandria.

Summary:
Symmetry ... No. 71
Size of the total moment ... 1.08 μB per formula unit
Energy above the lowest structure with this stoichiometry ... 362 meV/atom
V ... 81.61 Å³ per cell
Formation energy from raw total energies ... 0.7149 eV per atom

Cell lengths 6.6234, 6.6234, 4.6397 Å; angles 69.47, 69.47, 25.45 degrees
With the nearest neighbours (Å) after each atom.
Sites, in units of the cell vectors:
Au 0.9505 0.9505 0.0495  2 W 2.82, 6 Au 2.92-2.99
Au 0.5495 0.5495 0.4505  2 W 2.82, 6 Au 2.92-2.99
W 0.2500 0.2500 0.2500  4 Br 2.74, 4 Au 2.82, 2 W 2.92
Br 0.7500 0.7500 0.7500  4 W 2.74, 2 Br 2.92

(4)
First-principles (PBE) data for a geometry-optimized WAu4Br structure, as listed in Alexandria.

Summary:
Symmetry ... No. 216
Size of the total moment ... 3.75 μB per formula unit
V ... 121.30 Å³ per cell
Formation energy from raw total energies ... 0.8312 eV per atom

Cell lengths 5.5563, 5.5563, 5.5563 Å; angles 60.00, 60.00, 60.00 degrees
With the nearest neighbours (Å) after each atom.
Sites, in units of the cell vectors:
W 0.0000 0.0000 0.0000  12 Au 3.26, 4 Br 3.40
Au 0.8755 0.3748 0.3748  6 Au 2.77-2.78
Au 0.3748 0.3748 0.8755  6 Au 2.77-2.78
Au 0.3748 0.8755 0.3748  6 Au 2.77-2.78
Au 0.3748 0.3748 0.3748  6 Au 2.77-2.78
Br 0.7500 0.7500 0.7500  12 Au 3.26, 4 W 3.40

(5)
First-principles (PBE) data for a geometry-optimized WAu2Br structure, as listed in Alexandria.

Summary:
Symmetry ... No. 8
Size of the total moment ... 0.00 μB per formula unit
Energy above the lowest structure with this stoichiometry ... 334 meV/atom
V ... 74.77 Å³ per cell
Formation energy from raw total energies ... 0.6874 eV per atom

Cell lengths 4.6866, 4.6866, 5.6819 Å; angles 80.76, 80.76, 37.44 degrees
With the nearest neighbours (Å) after each atom.
Sites, in units of the cell vectors:
Au 0.9895 0.9895 0.0042  5 Au 2.77-3.01, 3 W 2.81-2.96, 2 Br 3.05
Au 0.7411 0.7411 0.7680  5 Au 2.77-3.01, 1 Br 2.85
Br 0.5182 0.5182 0.4617  3 W 2.64-2.78, 1 Au 2.85
W 0.2512 0.2512 0.2661  3 Br 2.64-2.78, 2 Au 2.81

(6)
First-principles (PBE) data for a geometry-optimized WAu2Br structure, as listed in Alexandria.

Summary:
Symmetry ... No. 47
Size of the total moment ... 1.23 μB per formula unit
Energy above the lowest structure with this stoichiometry ... 569 meV/atom
V ... 75.40 Å³ per cell
Formation energy from raw total energies ... 0.9219 eV per atom

Cell lengths 2.9506, 4.7670, 5.3605 Å; angles 90.00, 90.00, 90.00 degrees
With the nearest neighbours (Å) after each atom.
Sites, in units of the cell vectors:
Au 0.0000 0.0000 0.0000  6 Au 2.80-2.95, 4 Br 3.06
Au 0.5000 0.5000 0.0000  6 Au 2.80-2.95, 4 W 3.06
Br 0.5000 0.0000 0.5000  4 W 2.80, 2 Br 2.95, 4 Au 3.06
W 0.0000 0.5000 0.5000  4 Br 2.80, 2 W 2.95, 4 Au 3.06

(7)
First-principles (PBE) data for a geometry-optimized WAu2Br structure, as listed in Alexandria.

Summary:
Symmetry ... No. 10
Size of the total moment ... 0.00 μB per formula unit
Energy above the lowest structure with this stoichiometry ... 109 meV/atom
V ... 78.71 Å³ per cell
Formation energy from raw total energies ... 0.4616 eV per atom

Cell lengths 3.0559, 2.9258, 8.8036 Å; angles 89.90, 90.00, 90.00 degrees
With the nearest neighbours (Å) after each atom.
Sites, in units of the cell vectors:
Au 0.0000 0.2488 0.9650  4 W 2.84, 4 Au 2.93-3.06, 2 Br 2.94
Au 0.0000 0.2512 0.5350  4 W 2.84, 4 Au 2.93-3.06, 2 Br 2.94
Br 0.5000 0.2500 0.2500  4 Br 2.93-3.06, 4 Au 2.94
W 0.5000 0.7500 0.7500  8 Au 2.84, 4 W 2.93-3.06

(8)
First-principles (PBE) data for a geometry-optimized WAu2Br structure, as listed in Alexandria.

Summary:
Symmetry ... No. 123
Size of the total moment ... 3.30 μB per formula unit
Energy above the lowest structure with this stoichiometry ... 755 meV/atom
V ... 78.77 Å³ per cell
Formation energy from raw total energies ... 1.1083 eV per atom

Cell lengths 4.9306, 3.9970, 3.9970 Å; angles 90.00, 90.00, 90.00 degrees
With the nearest neighbours (Å) after each atom.
Sites, in units of the cell vectors:
Au 0.0000 0.0000 0.0000  4 Au 2.83
Au 0.0000 0.5000 0.5000  4 Au 2.83
Br 0.5000 0.5000 0.0000  4 W 2.83
W 0.5000 0.0000 0.5000  4 Br 2.83